{"formula": "Cd8Au5", "functional": "PBE", "state": "optimized geometry", "total_magnetization_mub_per_fu": 0.00, "e_tot_ev_per_fu": -25.5, "formation_enthalpy_0k_ev_per_atom": -0.141, "lattice": [[-5.058, 5.058, 5.058], [5.058, -5.058, 5.058], [5.058, 5.058, -5.058]], "species": ["Cd", "Cd", "Cd", "Cd", "Cd", "Cd", "Cd", "Cd", "Cd", "Cd", "Cd", "Cd", "Cd", "Cd", "Cd", "Cd", "Au", "Au", "Au", "Au", "Au", "Au", "Au", "Au", "Au", "Au"], "fractional_positions": [[0.000, 0.000, 0.781], [0.000, 0.280, 0.652], [0.000, 0.652, 0.280], [0.000, 0.781, 0.000], [0.219, 0.219, 0.219], [0.280, 0.000, 0.652], [0.280, 0.652, 0.000], [0.348, 0.348, 0.628], [0.348, 0.628, 0.348], [0.372, 0.720, 0.720], [0.628, 0.348, 0.348], [0.652, 0.000, 0.280], [0.652, 0.280, 0.000], [0.720, 0.372, 0.720], [0.720, 0.720, 0.372], [0.781, 0.000, 0.000], [0.000, 0.000, 0.351], [0.000, 0.351, 0.000], [0.000, 0.358, 0.358], [0.000, 0.642, 0.642], [0.351, 0.000, 0.000], [0.358, 0.000, 0.358], [0.358, 0.358, 0.000], [0.642, 0.000, 0.642], [0.642, 0.642, 0.000], [0.649, 0.649, 0.649]]}

***

{"formula": "CdAu2", "functional": "PBE", "state": "optimized geometry", "total_magnetization_mub_per_fu": 0.00, "e_tot_ev_per_fu": -7.8, "formation_enthalpy_0k_ev_per_atom": -0.111, "lattice": [[5.265, -1.712, 0.000], [5.265, 1.712, 0.000], [-2.061, 0.000, 6.375]], "species": ["Cd", "Cd", "Au", "Au", "Au", "Au"], "fractional_positions": [[0.174, 0.174, 0.126], [0.826, 0.826, 0.874], [0.149, 0.149, 0.543], [0.468, 0.468, 0.215], [0.532, 0.532, 0.785], [0.851, 0.851, 0.457]]}

***

{"formula": "Cd2Au", "functional": "PBE", "state": "optimized geometry", "total_magnetization_mub_per_fu": 0.00, "e_tot_ev_per_fu": -5.5, "formation_enthalpy_0k_ev_per_atom": -0.138, "lattice": [[0.000, 6.329, 6.329], [6.329, 0.000, 6.329], [6.329, 6.329, 0.000]], "species": ["Cd", "Cd", "Cd", "Cd", "Cd", "Cd", "Cd", "Cd", "Cd", "Cd", "Cd", "Cd", "Cd", "Cd", "Cd", "Cd", "Au", "Au", "Au", "Au", "Au", "Au", "Au", "Au"], "fractional_positions": [[0.000, 0.000, 0.000], [0.000, 0.000, 0.500], [0.000, 0.500, 0.000], [0.186, 0.186, 0.564], [0.186, 0.564, 0.186], [0.186, 0.564, 0.564], [0.436, 0.436, 0.814], [0.436, 0.814, 0.436], [0.436, 0.814, 0.814], [0.500, 0.000, 0.000], [0.564, 0.186, 0.186], [0.564, 0.186, 0.564], [0.564, 0.564, 0.186], [0.814, 0.436, 0.436], [0.814, 0.436, 0.814], [0.814, 0.814, 0.436], [0.157, 0.781, 0.781], [0.219, 0.219, 0.219], [0.219, 0.219, 0.843], [0.219, 0.843, 0.219], [0.781, 0.157, 0.781], [0.781, 0.781, 0.157], [0.781, 0.781, 0.781], [0.843, 0.219, 0.219]]}

***

{"formula": "CeCdAu2", "functional": "PBE", "state": "optimized geometry", "total_magnetization_mub_per_fu": 0.70, "e_tot_ev_per_fu": -15.7, "formation_enthalpy_0k_ev_per_atom": -0.574, "lattice": [[2.496, 1.441, 4.165], [-2.496, 1.441, 4.165], [0.000, -2.882, 4.165]], "species": ["Ce", "Cd", "Au", "Au"], "fractional_positions": [[0.000, 0.000, 0.000], [0.500, 0.500, 0.500], [0.246, 0.246, 0.246], [0.754, 0.754, 0.754]]}